Here is crystalline ScGePO2 at its relaxed geometry from Alexandria. Energies are from PBE.

Energy above the most stable polymorph in this dataset (meV/atom): 111
Total DFT energy (no corrections) (eV per atom): -6.21
ΔE_f (raw) (meV per atom): -953

Unit cell a=3.9511 b=3.9511 c=5.5360 alpha=90.00 beta=90.00 gamma=90.00
Space group P4/mmm (No. 123)
Inequivalent atoms, fractional coordinates:
Sc (0.0000, 0.0000, 0.0000) (multiplicity 1)
Ge (0.5000, 0.5000, 0.5000) (multiplicity 1)
P (0.0000, 0.0000, 0.5000) (multiplicity 1)
O (0.0000, 0.5000, 0.0000) (multiplicity 2)